(1)
Here is an optimized crystal structure of LiCu2Br from Alexandria. Energies are from PBE-GGA.

Output
Raw formation energy = 0.338 eV per atom
Offset from the most stable computed form = 579 meV/atom
Energy = -0.1916 Ry per atom
Total moment = 0.0 μB per cell

Lattice parameters (Å, degrees): 3.1632 5.2533 8.3986 90.00 90.00 90.00
Atoms (fractional coordinates):
1 Li 0.0000 0.0000 0.0000
2 Li 0.5000 0.5000 0.0000
3 Cu 0.0000 0.5000 0.2469
4 Cu 0.0000 0.5000 0.7531
5 Cu 0.5000 0.0000 0.2469
6 Cu 0.5000 0.0000 0.7531
7 Br 0.0000 0.0000 0.5000
8 Br 0.5000 0.5000 0.5000

(2)
Here is an optimized crystal structure of Li2CuBr from Alexandria. Energies are from PBE-GGA.

Output
Raw formation energy = -0.071 eV per atom
Offset from the most stable computed form = 411 meV/atom
Energy = -0.1816 Ry per atom
Total moment = 0.0 μB per cell

Lattice parameters (Å, degrees): 6.7101 6.7101 6.7101 90.00 90.00 90.00
Atoms (fractional coordinates):
1 Li 0.0000 0.0000 0.0000
2 Li 0.0000 0.5000 0.5000
3 Li 0.2500 0.2500 0.2500
4 Li 0.2500 0.7500 0.7500
5 Li 0.5000 0.0000 0.5000
6 Li 0.5000 0.5000 0.0000
7 Li 0.7500 0.2500 0.7500
8 Li 0.7500 0.7500 0.2500
9 Cu 0.2500 0.2500 0.7500
10 Cu 0.2500 0.7500 0.2500
11 Cu 0.7500 0.2500 0.2500
12 Cu 0.7500 0.7500 0.7500
13 Br 0.0000 0.0000 0.5000
14 Br 0.0000 0.5000 0.0000
15 Br 0.5000 0.0000 0.0000
16 Br 0.5000 0.5000 0.5000

(3)
Here is an optimized crystal structure of LiCuBr2 from Alexandria. Energies are from PBE-GGA.

Output
Raw formation energy = -0.791 eV per atom
Offset from the most stable computed form = 97 meV/atom
Energy = -0.2300 Ry per atom
Total moment = 0.0 μB per cell

Lattice parameters (Å, degrees): 5.2512 5.2692 6.2712 90.00 90.00 90.00
Atoms (fractional coordinates):
1 Li 0.0000 0.0000 0.0000
2 Li 0.5000 0.5000 0.0000
3 Cu 0.0000 0.5000 0.3303
4 Cu 0.5000 0.0000 0.3303
5 Br 0.0000 0.0000 0.4224
6 Br 0.0000 0.5000 0.9344
7 Br 0.5000 0.0000 0.9344
8 Br 0.5000 0.5000 0.4224

(4)
Here is an optimized crystal structure of Li4CuBr5 from Alexandria. Energies are from PBE-GGA.

Output
Raw formation energy = -1.281 eV per atom
Energy = -0.2420 Ry per atom
Total moment = 0.0 μB per cell

Lattice parameters (Å, degrees): 17.0770 17.0770 17.0770 13.93 13.93 13.93
Atoms (fractional coordinates):
1 Li 0.0000 0.0000 0.0000
2 Li 0.1980 0.1980 0.1980
3 Li 0.4007 0.4007 0.4007
4 Li 0.5990 0.5990 0.5990
5 Cu 0.7989 0.7989 0.7989
6 Br 0.0504 0.0504 0.0504
7 Br 0.2485 0.2485 0.2485
8 Br 0.4511 0.4511 0.4511
9 Br 0.6495 0.6495 0.6495
10 Br 0.8481 0.8481 0.8481

(5)
Here is an optimized crystal structure of LiCu2Br from Alexandria. Energies are from PBE-GGA.

Output
Raw formation energy = -0.166 eV per atom
Offset from the most stable computed form = 75 meV/atom
Energy = -0.2286 Ry per atom
Total moment = 0.0 μB per cell

Lattice parameters (Å, degrees): 3.4962 3.4962 5.9950 90.00 90.00 90.00
Atoms (fractional coordinates):
1 Li 0.0000 0.0000 0.0000
2 Cu 0.0000 0.5000 0.5000
3 Cu 0.5000 0.0000 0.5000
4 Br 0.5000 0.5000 0.0000

(6)
Here is an optimized crystal structure of Li2CuBr from Alexandria. Energies are from PBE-GGA.

Output
Raw formation energy = -0.483 eV per atom
Offset from the most stable computed form = 0 meV/atom
Energy = -0.2118 Ry per atom
Total moment = 0.0 μB per cell

Lattice parameters (Å, degrees): 6.4112 3.7144 6.8455 90.00 108.30 90.00
Atoms (fractional coordinates):
1 Li 0.2478 0.0000 0.2442
2 Li 0.2522 0.5000 0.7558
3 Li 0.7478 0.5000 0.2442
4 Li 0.7522 0.0000 0.7558
5 Cu 0.0000 0.0000 0.5000
6 Cu 0.5000 0.5000 0.5000
7 Br 0.0000 0.5000 0.0000
8 Br 0.5000 0.0000 0.0000

(7)
Here is an optimized crystal structure of Li3Cu2Br6 from Alexandria. Energies are from PBE-GGA.

Output
Raw formation energy = -0.919 eV per atom
Energy = -0.2277 Ry per atom
Total moment = 0.9 μB per cell

Lattice parameters (Å, degrees): 19.4423 19.4423 19.4423 11.38 11.38 11.38
Atoms (fractional coordinates):
1 Li 0.0000 0.0000 0.0000
2 Li 0.2782 0.2782 0.2782
3 Li 0.7218 0.7218 0.7218
4 Cu 0.4483 0.4483 0.4483
5 Cu 0.5517 0.5517 0.5517
6 Br 0.0829 0.0829 0.0829
7 Br 0.1991 0.1991 0.1991
8 Br 0.3609 0.3609 0.3609
9 Br 0.6391 0.6391 0.6391
10 Br 0.8009 0.8009 0.8009
11 Br 0.9171 0.9171 0.9171

(8)
Here is an optimized crystal structure of LiCu2Br from Alexandria. Energies are from PBE-GGA.

Output
Raw formation energy = -0.162 eV per atom
Offset from the most stable computed form = 79 meV/atom
Energy = -0.2284 Ry per atom
Total moment = 0.0 μB per cell

Lattice parameters (Å, degrees): 3.4845 3.4845 13.2797 90.00 90.00 90.00
Atoms (fractional coordinates):
1 Li 0.0000 0.0000 0.0000
2 Li 0.5000 0.5000 0.5000
3 Cu 0.0000 0.5000 0.2500
4 Cu 0.0000 0.5000 0.7500
5 Cu 0.5000 0.0000 0.2500
6 Cu 0.5000 0.0000 0.7500
7 Br 0.0000 0.0000 0.5000
8 Br 0.5000 0.5000 0.0000

(9)
Here is an optimized crystal structure of LiCu2Br from Alexandria. Energies are from PBE-GGA.

Output
Raw formation energy = -0.210 eV per atom
Offset from the most stable computed form = 31 meV/atom
Energy = -0.2319 Ry per atom
Total moment = 0.0 μB per cell

Lattice parameters (Å, degrees): 12.8194 3.4454 3.4504 90.00 105.50 90.00
Atoms (fractional coordinates):
1 Li 0.0000 0.0000 0.0000
2 Li 0.5000 0.5000 0.0000
3 Cu 0.2230 0.5000 0.7234
4 Cu 0.2770 0.0000 0.2766
5 Cu 0.7230 0.0000 0.7234
6 Cu 0.7770 0.5000 0.2766
7 Br 0.0000 0.5000 0.5000
8 Br 0.5000 0.0000 0.5000

(10)
Here is an optimized crystal structure of LiCu2Br from Alexandria. Energies are from PBE-GGA.

Output
Raw formation energy = 0.145 eV per atom
Offset from the most stable computed form = 386 meV/atom
Energy = -0.2058 Ry per atom
Total moment = 0.0 μB per cell

Lattice parameters (Å, degrees): 8.0981 8.0981 4.7716 90.00 90.00 90.00
Atoms (fractional coordinates):
1 Li 0.0000 0.0000 0.0000
2 Li 0.0000 0.5000 0.2500
3 Li 0.5000 0.0000 0.7500
4 Li 0.5000 0.5000 0.5000
5 Cu 0.2012 0.2500 0.6250
6 Cu 0.2500 0.7012 0.8750
7 Cu 0.2500 0.7988 0.3750
8 Cu 0.2988 0.2500 0.1250
9 Cu 0.7012 0.7500 0.1250
10 Cu 0.7500 0.2012 0.3750
11 Cu 0.7500 0.2988 0.8750
12 Cu 0.7988 0.7500 0.6250
13 Br 0.0000 0.0000 0.5000
14 Br 0.0000 0.5000 0.7500
15 Br 0.5000 0.0000 0.2500
16 Br 0.5000 0.5000 0.0000

(11)
Here is an optimized crystal structure of Li2CuBr from Alexandria. Energies are from PBE-GGA.

Output
Raw formation energy = -0.453 eV per atom
Offset from the most stable computed form = 30 meV/atom
Energy = -0.2096 Ry per atom
Total moment = 0.0 μB per cell

Lattice parameters (Å, degrees): 3.4030 3.5138 13.0080 90.00 90.00 90.00
Atoms (fractional coordinates):
1 Li 0.0000 0.0000 0.0000
2 Li 0.0000 0.5000 0.2457
3 Li 0.5000 0.0000 0.7457
4 Li 0.5000 0.5000 0.5000
5 Cu 0.0000 0.0000 0.4092
6 Cu 0.5000 0.5000 0.9092
7 Br 0.0000 0.5000 0.6634
8 Br 0.5000 0.0000 0.1634

(12)
Here is an optimized crystal structure of Na2LiCuBr4 from Alexandria. Energies are from PBE-GGA.

Output
Raw formation energy = -1.161 eV per atom
Energy = -0.2262 Ry per atom
Total moment = 0.1 μB per cell

Lattice parameters (Å, degrees): 8.1836 8.1836 8.1836 116.87 114.93 97.27
Atoms (fractional coordinates):
1 Na 0.0000 0.0000 0.0000
2 Na 0.5000 0.0000 0.0000
3 Na 0.5000 0.0000 0.5000
4 Na 0.5000 0.5000 0.5000
5 Li 0.0000 0.5000 0.5000
6 Li 0.5000 0.5000 0.0000
7 Cu 0.0000 0.0000 0.5000
8 Cu 0.0000 0.5000 0.0000
9 Br 0.2161 0.2187 0.5026
10 Br 0.2161 0.7136 0.9974
11 Br 0.2599 0.7350 0.5249
12 Br 0.2900 0.2650 0.0249
13 Br 0.7100 0.7350 0.9751
14 Br 0.7401 0.2650 0.4751
15 Br 0.7839 0.2864 0.0026
16 Br 0.7839 0.7813 0.4974